A plane-wave DFT calculation with PBE-GGA was carried out for a geometry-optimized Sm2SO structure.

Values from the calculation:
Raw formation energy: -2332 meV per atom
Total moment: 0.000 μB/f.u.
V: 18.932 Å³/atom

a b c (Å): 6.674 6.674 6.674
angles (deg): 32.36 32.36 32.36
Fractional coordinates of all 4 atoms:
Sm 0.237 0.237 0.237
Sm 0.763 0.763 0.763
S 0.000 0.000 0.000
O 0.500 0.500 0.500